(1)
Computed, not measured: an optimized crystal structure of Zr5Os at the PBE level of DFT.

Output
M_tot = 0.0000 μB/atom
energy relative to the elements = 0.08 eV per atom
density of states at the Fermi level = 1.62 states/eV/atom
E = -8.916 eV per atom

Cell and atoms, written as CIF:
```
data_Zr5Os
_chemical_formula_sum 'Zr5 Os1'
_space_group_name_H-M_alt 'P 1'
_space_group_IT_number 1
_cell_length_a 5.2368
_cell_length_b 5.2368
_cell_length_c 5.2955
_cell_angle_alpha 90.00
_cell_angle_beta 90.00
_cell_angle_gamma 120.00
loop_
_space_group_symop_operation_xyz
'x,y,z'
loop_
_atom_site_label
_atom_site_type_symbol
_atom_site_fract_x
_atom_site_fract_y
_atom_site_fract_z
Zr1 Zr 0.0000 0.6862 0.0000
Zr2 Zr 0.3138 0.3138 0.0000
Zr3 Zr 0.3333 0.6667 0.5000
Zr4 Zr 0.6667 0.3333 0.5000
Zr5 Zr 0.6862 0.0000 0.0000
Os1 Os 0.0000 0.0000 0.5000
```

(2)
Computed, not measured: an optimized crystal structure of AcPm2HoP4 at the PBE level of DFT.

Output
M_tot = 0.0000 μB/atom
energy relative to the elements = -1.50 eV per atom
density of states at the Fermi level = 0.09 states/eV/atom
E = -6.479 eV per atom

Cell and atoms, written as CIF:
```
data_AcPm2HoP4
_chemical_formula_sum 'Ac1 Pm2 Ho1 P4'
_space_group_name_H-M_alt 'P 1'
_space_group_IT_number 1
_cell_length_a 7.2423
_cell_length_b 4.1826
_cell_length_c 7.2436
_cell_angle_alpha 90.00
_cell_angle_beta 109.35
_cell_angle_gamma 90.00
loop_
_space_group_symop_operation_xyz
'x,y,z'
loop_
_atom_site_label
_atom_site_type_symbol
_atom_site_fract_x
_atom_site_fract_y
_atom_site_fract_z
Ac1 Ac 0.0000 0.0000 0.0000
Pm1 Pm 0.0000 0.5000 0.5000
Pm2 Pm 0.5000 0.0000 0.5000
Ho1 Ho 0.5000 0.5000 0.0000
P1 P 0.2608 0.0000 0.7506
P2 P 0.2641 0.5000 0.2579
P3 P 0.7359 0.5000 0.7421
P4 P 0.7392 0.0000 0.2494
```

(3)
Computed, not measured: an optimized crystal structure of Nd4Sm3Er4 at the PBE level of DFT.

Output
M_tot = 0.0000 μB/atom
energy relative to the elements = 0.02 eV per atom
density of states at the Fermi level = 1.31 states/eV/atom
E = -4.662 eV per atom

Cell and atoms, written as CIF:
```
data_Nd4Sm3Er4
_chemical_formula_sum 'Nd4 Sm3 Er4'
_space_group_name_H-M_alt 'P 1'
_space_group_IT_number 1
_cell_length_a 20.0581
_cell_length_b 20.0581
_cell_length_c 20.0581
_cell_angle_alpha 169.68
_cell_angle_beta 165.45
_cell_angle_gamma 17.88
loop_
_space_group_symop_operation_xyz
'x,y,z'
loop_
_atom_site_label
_atom_site_type_symbol
_atom_site_fract_x
_atom_site_fract_y
_atom_site_fract_z
Nd1 Nd 0.0462 0.0462 0.0000
Nd2 Nd 0.3173 0.3173 0.0000
Nd3 Nd 0.6827 0.6827 0.0000
Nd4 Nd 0.9538 0.9538 0.0000
Sm1 Sm 0.1367 0.1367 0.0000
Sm2 Sm 0.5002 0.5000 0.0001
Sm3 Sm 0.8633 0.8633 0.0000
Er1 Er 0.2279 0.2279 0.0000
Er2 Er 0.4082 0.4082 0.0000
Er3 Er 0.5918 0.5918 0.0000
Er4 Er 0.7721 0.7721 0.0000
```

(4)
Computed, not measured: an optimized crystal structure of In3AgRu at the PBE level of DFT.

Output
M_tot = 0.0000 μB/atom
energy relative to the elements = 0.26 eV per atom
density of states at the Fermi level = 0.59 states/eV/atom
E = -3.807 eV per atom

Cell and atoms, written as CIF:
```
data_In3AgRu
_chemical_formula_sum 'In3 Ag1 Ru1'
_space_group_name_H-M_alt 'P 1'
_space_group_IT_number 1
_cell_length_a 5.1300
_cell_length_b 5.1300
_cell_length_c 5.1300
_cell_angle_alpha 90.00
_cell_angle_beta 90.00
_cell_angle_gamma 90.00
loop_
_space_group_symop_operation_xyz
'x,y,z'
loop_
_atom_site_label
_atom_site_type_symbol
_atom_site_fract_x
_atom_site_fract_y
_atom_site_fract_z
In1 In 0.0000 0.0000 0.5000
In2 In 0.0000 0.5000 0.0000
In3 In 0.5000 0.0000 0.0000
Ag1 Ag 0.5000 0.5000 0.5000
Ru1 Ru 0.0000 0.0000 0.0000
```